# TlPbS3 | Alexandria via LeMat-Bulk | GGA-PBE | relaxed
data_TlPbS3
_chemical_formula_sum 'Tl4 Pb4 S12'
_symmetry_space_group_name_H-M 'A m m 2'
_symmetry_Int_Tables_number 38
_cell_length_a 4.018
_cell_length_b 13.685
_cell_length_c 10.408
_cell_angle_alpha 90.00
_cell_angle_beta 90.00
_cell_angle_gamma 90.00
loop_
_symmetry_equiv_pos_as_xyz
'x,y,z'
'-x,-y,z'
'-x,y,z'
'x,-y,z'
'x,y+1/2,z+1/2'
'-x,-y+1/2,z+1/2'
'-x,y+1/2,z+1/2'
'x,-y+1/2,z+1/2'
loop_
_atom_site_label
_atom_site_type_symbol
_atom_site_fract_x
_atom_site_fract_y
_atom_site_fract_z
Tl1 Tl 0.000 0.000 0.000
Tl2 Tl 0.000 0.000 0.437
Pb1 Pb 0.500 0.246 0.159
S1 S 0.000 0.118 0.631
S2 S 0.000 0.121 0.246
S3 S 0.500 0.130 0.942
# Crystal system: orthorhombic
# Calculated volume in A^3/atom: 28.6
# Raw formation energy in eV per atom: 0.033